Material: Mn2BeCu
Method: DFT, PBE-GGA
State: optimized geometry

a b c (Å): 4.5903 4.5903 2.3642
angles (deg): 97.30 97.30 119.60
Fractional coordinates of all 4 atoms:
Mn  0.0000  0.5000  0.0000
Mn  0.5000  0.0000  0.0000
Be  0.0000  0.0000  0.5000
Cu  0.5000  0.5000  0.5000

## Properties
- SG: No. 12
- ΔE_f: 0.18 eV/atom

***

Material: Ta2MnZnSi
Method: DFT, PBE-GGA
State: optimized geometry

a b c (Å): 4.7149 4.7149 4.0685
angles (deg): 90.00 90.00 90.00
Fractional coordinates of all 5 atoms:
Ta  0.0000  0.5000  0.0000
Ta  0.5000  0.0000  0.0000
Mn  0.0000  0.0000  0.5000
Zn  0.5000  0.5000  0.0000
Si  0.5000  0.5000  0.5000

## Properties
- ΔE_f (raw): 1550.3 meV per atom
- SG: No. 123

***

Material: In2SbMo
Method: DFT, PBE-GGA
State: optimized geometry

a b c (Å): 5.6938 5.6938 5.6938
angles (deg): 136.36 136.36 63.43
Fractional coordinates of all 4 atoms:
In  0.2500  0.7500  0.5000
In  0.7500  0.2500  0.5000
Sb  0.0000  0.0000  0.0000
Mo  0.5000  0.5000  0.0000

## Properties
- ΔE_f (raw): 518.1 meV per atom
- SG: No. 139

***

Material: BeAl4In
Method: DFT, PBE-GGA
State: optimized geometry

a b c (Å): 5.3738 5.3738 5.3738
angles (deg): 60.00 60.00 60.00
Fractional coordinates of all 6 atoms:
Be  0.0000  0.0000  0.0000
Al  0.3744  0.3744  0.3744
Al  0.3744  0.3744  0.8768
Al  0.3744  0.8768  0.3744
Al  0.8768  0.3744  0.3744
In  0.7500  0.7500  0.7500

## Properties
- SG: No. 216
- ΔE_f: 0.41 eV/atom

***

Material: PuNb2Rh
Method: DFT, PBE-GGA
State: optimized geometry

a b c (Å): 4.6669 4.6669 4.6669
angles (deg): 60.00 60.00 60.00
Fractional coordinates of all 4 atoms:
Pu  0.0000  0.0000  0.0000
Nb  0.2500  0.2500  0.2500
Nb  0.7500  0.7500  0.7500
Rh  0.5000  0.5000  0.5000

## Properties
- SG: No. 225
- ΔE_f: 0.04 eV/atom

***

Material: CrAs2Au
Method: DFT, PBE-GGA
State: optimized geometry

a b c (Å): 6.7574 6.7574 6.7574
angles (deg): 155.43 146.22 42.21
Fractional coordinates of all 4 atoms:
Cr  0.0000  0.0000  0.0000
As  0.5459  0.5459  0.0000
As  0.8324  0.3324  0.5000
Au  0.2084  0.7084  0.5000

## Properties
- SG: No. 44
- ΔE_f: 0.11 eV/atom

***

Material: RbLiO
Method: DFT, PBE-GGA
State: optimized geometry

a b c (Å): 3.6140 5.6379 6.2376
angles (deg): 64.78 89.83 89.84
Fractional coordinates of all 6 atoms:
Rb  0.2483  0.1817  0.1430
Rb  0.7517  0.8183  0.8570
Li  0.2486  0.4364  0.6128
Li  0.7514  0.5636  0.3872
O  0.2495  0.6253  0.2656
O  0.7505  0.3747  0.7344

## Properties
- ΔE_f (raw): -1367.5 meV per atom
- SG: No. 2

***

Material: NaTlSn2F6
Method: DFT, PBE-GGA
State: optimized geometry

a b c (Å): 6.9169 6.9169 6.9169
angles (deg): 54.87 54.87 54.87
Fractional coordinates of all 10 atoms:
Na  0.0000  0.0000  0.0000
Tl  0.4226  0.4226  0.4226
Sn  0.2055  0.2055  0.2055
Sn  0.6641  0.6641  0.6641
F  0.0610  0.5666  0.2114
F  0.2114  0.0610  0.5666
F  0.4367  0.8175  0.9535
F  0.5666  0.2114  0.0610
F  0.8175  0.9535  0.4367
F  0.9535  0.4367  0.8175

## Properties
- ΔE_f (raw): -2280.2 meV per atom
- SG: No. 146

***

Material: HoAl10Re2
Method: DFT, PBE-GGA
State: optimized geometry

a b c (Å): 6.9539 6.9539 26.9593
angles (deg): 90.00 90.00 95.97
Fractional coordinates of all 78 atoms:
Ho  0.1185  0.8815  0.7500
Ho  0.3751  0.6249  0.5848
Ho  0.3751  0.6249  0.9152
Ho  0.6249  0.3751  0.0848
Ho  0.6249  0.3751  0.4152
Ho  0.8815  0.1185  0.2500
Al  0.0280  0.5323  0.6711
Al  0.0280  0.5323  0.8289
Al  0.0286  0.2722  0.5809
Al  0.0286  0.2722  0.9191
Al  0.0961  0.9039  0.6332
Al  0.0961  0.9039  0.8668
Al  0.0997  0.3216  0.7500
Al  0.1198  0.3770  0.0831
Al  0.1198  0.3770  0.4169
Al  0.1218  0.8782  0.5220
Al  0.1218  0.8782  0.9780
Al  0.1298  0.8702  0.1783
Al  0.1298  0.8702  0.3217
Al  0.2377  0.4639  0.2500
Al  0.2722  0.0286  0.0809
Al  0.2722  0.0286  0.4191
Al  0.2947  0.2947  0.0000
Al  0.2947  0.2947  0.5000
Al  0.3216  0.0997  0.2500
Al  0.3347  0.6653  0.0340
Al  0.3347  0.6653  0.4660
Al  0.3743  0.6257  0.1456
Al  0.3743  0.6257  0.3544
Al  0.3770  0.1198  0.5831
Al  0.3770  0.1198  0.9169
Al  0.4083  0.5917  0.6999
Al  0.4083  0.5917  0.8001
Al  0.4639  0.2377  0.7500
Al  0.4677  0.9720  0.6711
Al  0.4677  0.9720  0.8289
Al  0.5323  0.0280  0.1711
Al  0.5323  0.0280  0.3289
Al  0.5361  0.7623  0.2500
Al  0.5917  0.4083  0.1999
Al  0.5917  0.4083  0.3001
Al  0.6230  0.8802  0.0831
Al  0.6230  0.8802  0.4169
Al  0.6257  0.3743  0.6456
Al  0.6257  0.3743  0.8544
Al  0.6653  0.3347  0.5340
Al  0.6653  0.3347  0.9660
Al  0.6784  0.9003  0.7500
Al  0.7053  0.7053  0.0000
Al  0.7053  0.7053  0.5000
Al  0.7278  0.9714  0.5809
Al  0.7278  0.9714  0.9191
Al  0.7623  0.5361  0.7500
Al  0.8702  0.1298  0.6783
Al  0.8702  0.1298  0.8217
Al  0.8782  0.1218  0.0220
Al  0.8782  0.1218  0.4780
Al  0.8802  0.6230  0.5831
Al  0.8802  0.6230  0.9169
Al  0.9003  0.6784  0.2500
Al  0.9039  0.0961  0.1332
Al  0.9039  0.0961  0.3668
Al  0.9714  0.7278  0.0809
Al  0.9714  0.7278  0.4191
Al  0.9720  0.4677  0.1711
Al  0.9720  0.4677  0.3289
Re  0.0000  0.5000  0.0000
Re  0.0000  0.5000  0.5000
Re  0.2453  0.2504  0.6632
Re  0.2453  0.2504  0.8368
Re  0.2504  0.2453  0.1632
Re  0.2504  0.2453  0.3368
Re  0.5000  0.0000  0.0000
Re  0.5000  0.0000  0.5000
Re  0.7496  0.7547  0.6632
Re  0.7496  0.7547  0.8368
Re  0.7547  0.7496  0.1632
Re  0.7547  0.7496  0.3368

## Properties
- SG: No. 63
- ΔE_f: -0.35 eV/atom

***

Material: Tl2SnSb2Pb4
Method: DFT, PBE-GGA
State: optimized geometry

a b c (Å): 6.7997 6.8272 7.4822
angles (deg): 88.08 71.49 61.32
Fractional coordinates of all 9 atoms:
Tl  0.0351  0.1938  0.3467
Tl  0.9649  0.8062  0.6533
Sn  0.5000  0.0000  0.5000
Sb  0.4097  0.8638  0.9216
Sb  0.5903  0.1362  0.0784
Pb  0.0253  0.6831  0.1437
Pb  0.4811  0.4062  0.7223
Pb  0.5189  0.5938  0.2777
Pb  0.9747  0.3169  0.8563

## Properties
- ΔE_f (raw): 52.7 meV per atom
- SG: No. 2

***

Material: Ca2PrSi6
Method: DFT, PBE-GGA
State: optimized geometry

a b c (Å): 7.0901 7.0901 4.2820
angles (deg): 90.00 90.00 120.00
Fractional coordinates of all 9 atoms:
Ca  0.3333  0.6667  0.0000
Ca  0.6667  0.3333  0.0000
Pr  0.0000  0.0000  0.0000
Si  0.0000  0.3338  0.5000
Si  0.0000  0.6662  0.5000
Si  0.3338  0.0000  0.5000
Si  0.3338  0.3338  0.5000
Si  0.6662  0.0000  0.5000
Si  0.6662  0.6662  0.5000

## Properties
- ΔE_f (raw): -387.3 meV per atom
- SG: No. 191

***

Material: Rb3CaPt
Method: DFT, PBE-GGA
State: optimized geometry

a b c (Å): 6.5880 6.5880 6.5880
angles (deg): 90.00 90.00 90.00
Fractional coordinates of all 5 atoms:
Rb  0.0000  0.0000  0.5000
Rb  0.0000  0.5000  0.0000
Rb  0.5000  0.0000  0.0000
Ca  0.5000  0.5000  0.5000
Pt  0.0000  0.0000  0.0000

## Properties
- SG: No. 221
- ΔE_f: 0.27 eV/atom

***

Material: Li2AgIr
Method: DFT, PBE-GGA
State: optimized geometry

a b c (Å): 4.8401 4.8401 2.6207
angles (deg): 90.00 90.00 108.79
Fractional coordinates of all 4 atoms:
Li  0.0000  0.5000  0.0000
Li  0.5000  0.0000  0.0000
Ag  0.0000  0.0000  0.5000
Ir  0.5000  0.5000  0.5000

## Properties
- SG: No. 65
- ΔE_f: -0.07 eV/atom

***

Material: CeZrTe2O
Method: DFT, PBE-GGA
State: optimized geometry

a b c (Å): 4.0071 4.0071 14.5074
angles (deg): 90.00 90.00 90.00
Fractional coordinates of all 10 atoms:
Ce  0.2500  0.2500  0.0846
Ce  0.7500  0.7500  0.9154
Zr  0.2500  0.2500  0.5754
Zr  0.7500  0.7500  0.4246
Te  0.2500  0.2500  0.3706
Te  0.2500  0.2500  0.7934
Te  0.7500  0.7500  0.2066
Te  0.7500  0.7500  0.6294
O  0.2500  0.7500  0.0000
O  0.7500  0.2500  0.0000

## Properties
- ΔE_f (raw): -1850.5 meV per atom
- SG: No. 129

***

Material: Ac3Bi2As2Rh4
Method: DFT, PBE-GGA
State: optimized geometry

a b c (Å): 4.5125 4.5125 15.6363
angles (deg): 90.00 90.00 120.00
Fractional coordinates of all 11 atoms:
Ac  0.0000  0.0000  0.0000
Ac  0.0000  0.0000  0.2623
Ac  0.0000  0.0000  0.7377
Bi  0.3333  0.6667  0.5720
Bi  0.6667  0.3333  0.4280
As  0.3333  0.6667  0.1382
As  0.6667  0.3333  0.8618
Rh  0.3333  0.6667  0.3894
Rh  0.3333  0.6667  0.8704
Rh  0.6667  0.3333  0.1296
Rh  0.6667  0.3333  0.6106

## Properties
- SG: No. 164
- ΔE_f: -0.73 eV/atom

***

Material: LiV
Method: DFT, PBE-GGA
State: optimized geometry

a b c (Å): 7.2247 7.2247 7.2247
angles (deg): 91.60 91.60 160.77
Fractional coordinates of all 8 atoms:
Li  0.1029  0.3454  0.4484
Li  0.3454  0.8971  0.2425
Li  0.6546  0.1029  0.7575
Li  0.8971  0.6546  0.5516
V  0.0887  0.8557  0.9444
V  0.1443  0.0887  0.2330
V  0.8557  0.9113  0.7670
V  0.9113  0.1443  0.0556

## Properties
- SG: No. 87
- ΔE_f: 0.62 eV/atom

***

Material: Al2HF
Method: DFT, PBE-GGA
State: optimized geometry

a b c (Å): 5.6166 5.6166 5.6166
angles (deg): 129.39 129.39 74.39
Fractional coordinates of all 8 atoms:
Al  0.0651  0.6250  0.9401
Al  0.3750  0.3151  0.4401
Al  0.6849  0.1250  0.0599
Al  0.8750  0.9349  0.5599
H  0.0000  0.0000  0.0000
H  0.7500  0.2500  0.5000
F  0.2500  0.7500  0.5000
F  0.5000  0.5000  0.0000

## Properties
- SG: No. 122

***

Material: Hg3Bi2Sb2
Method: DFT, PBE-GGA
State: optimized geometry

a b c (Å): 4.3716 6.3918 8.5883
angles (deg): 95.36 101.42 93.91
Fractional coordinates of all 7 atoms:
Hg  0.0000  0.0000  0.0000
Hg  0.4143  0.6593  0.8741
Hg  0.5857  0.3407  0.1259
Bi  0.1922  0.7148  0.3314
Bi  0.8078  0.2852  0.6686
Sb  0.2073  0.2300  0.4231
Sb  0.7927  0.7700  0.5769

## Properties
- ΔE_f (raw): 58.8 meV per atom
- SG: No. 2

***

Material: TaSb2Ru
Method: DFT, PBE-GGA
State: optimized geometry

a b c (Å): 8.9168 8.9168 8.9168
angles (deg): 20.59 20.59 20.59
Fractional coordinates of all 4 atoms:
Ta  0.0000  0.0000  0.0000
Sb  0.2437  0.2437  0.2437
Sb  0.7563  0.7563  0.7563
Ru  0.5000  0.5000  0.5000

## Properties
- ΔE_f (raw): 216.9 meV per atom
- SG: No. 166

***

Material: MgSbW
Method: DFT, PBE-GGA
State: optimized geometry

a b c (Å): 7.4694 7.2800 3.0363
angles (deg): 81.64 74.64 23.71
Fractional coordinates of all 3 atoms:
Mg  0.0000  0.0000  0.0000
Sb  0.6986  0.6986  0.3014
W  0.3478  0.3478  0.6522

## Properties
- ΔE_f (raw): 544.5 meV per atom
- SG: No. 42

***

Material: Er5AlPd4
Method: DFT, PBE-GGA
State: optimized geometry

a b c (Å): 3.4936 3.4936 17.5639
angles (deg): 90.00 90.00 90.00
Fractional coordinates of all 10 atoms:
Er  0.0000  0.0000  0.0000
Er  0.0000  0.0000  0.1975
Er  0.0000  0.0000  0.3936
Er  0.0000  0.0000  0.6064
Er  0.0000  0.0000  0.8025
Al  0.5000  0.5000  0.5000
Pd  0.5000  0.5000  0.0992
Pd  0.5000  0.5000  0.2980
Pd  0.5000  0.5000  0.7020
Pd  0.5000  0.5000  0.9008

## Properties
- SG: No. 123
- ΔE_f: -0.81 eV/atom

***

| no. | raw total energy (eV per atom) |
| --- | --- |
| 1 | -6.359 |
| 2 | -6.364 |
| 3 | -4.590 |
| 4 | -3.162 |
| 5 | -10.416 |
| 6 | -5.437 |
| 7 | -3.981 |
| 8 | -4.572 |
| 9 | -5.500 |
| 10 | -3.482 |
| 11 | -4.979 |
| 12 | -1.918 |
| 13 | -3.955 |
| 14 | -6.995 |
| 15 | -6.070 |
| 16 | -4.897 |
| 17 | -3.582 |
| 18 | -2.357 |
| 19 | -7.126 |
| 20 | -5.679 |
| 21 | -5.548 |